NpZnHg2: relaxed, PBE.

Structure (CIF):
```
data_NpZnHg2
_chemical_formula_sum 'Np3 Zn3 Hg6'
_space_group_name_H-M_alt 'R -3 m'
_space_group_IT_number 166
_space_group_name_Hall '-R 3 2"'
_cell_length_a 3.0541
_cell_length_b 3.0541
_cell_length_c 31.7408
_cell_angle_alpha 90.00
_cell_angle_beta 90.00
_cell_angle_gamma 120.00
loop_
_atom_site_label
_atom_site_type_symbol
_atom_site_fract_x
_atom_site_fract_y
_atom_site_fract_z
Np1 Np 0.0000 0.0000 0.0000
Zn1 Zn 0.0000 0.0000 0.5000
Hg1 Hg 0.0000 0.0000 0.2442
```

Calculated values
- energy above the most stable polymorph in this dataset (eV per atom) = 0.059
- calculated density (Mg/m³) = 13.67

LaNiSn2Pt4: relaxed, PBE.

Structure (CIF):
```
data_LaNiSn2Pt4
_chemical_formula_sum 'La3 Ni3 Sn6 Pt12'
_space_group_name_H-M_alt 'R -3 m'
_space_group_IT_number 166
_space_group_name_Hall '-R 3 2"'
_cell_length_a 4.4678
_cell_length_b 4.4678
_cell_length_c 26.9970
_cell_angle_alpha 90.00
_cell_angle_beta 90.00
_cell_angle_gamma 120.00
loop_
_atom_site_label
_atom_site_type_symbol
_atom_site_fract_x
_atom_site_fract_y
_atom_site_fract_z
La1 La 0.0000 0.0000 0.0000
Ni1 Ni 0.0000 0.0000 0.5000
Sn1 Sn 0.0000 0.0000 0.2375
Pt1 Pt 0.0000 0.0000 0.1357
Pt2 Pt 0.0000 0.0000 0.4024
```

Calculated values
- calculated density (Mg/m³) = 12.97

For reference, ΔH_f (0 K) by record: 0.211 -0.614 eV per atom.
For reference, DFT total energy by record: -41.92 -143.36 eV per cell.